No. 1
K2TeMo: optimized geometry, PBE-GGA.

```
data_K2TeMo
_chemical_formula_sum 'K2 Te1 Mo1'
_cell_length_a 4.0075
_cell_length_b 4.0075
_cell_length_c 9.4038
_cell_angle_alpha 90.00
_cell_angle_beta 90.00
_cell_angle_gamma 90.00
_space_group_name_H-M_alt 'P 4/m m m'
_space_group_IT_number 123
_space_group_name_Hall '-P 4 2'
loop_
_atom_site_label
_atom_site_fract_x
_atom_site_fract_y
_atom_site_fract_z
K1 0.0000 0.0000 0.2153
Te1 0.5000 0.5000 0.0000
Mo1 0.5000 0.5000 0.5000
```

Computed properties:
**Energy relative to the elements, uncorrected**: 0.745 eV/atom
**Calculated volume**: 37.76 A^3/atom
**Size of the total moment**: 5.0 μB/f.u.

No. 2
Er2TmAl: optimized geometry, PBE-GGA.

```
data_Er2TmAl
_chemical_formula_sum 'Er8 Tm4 Al4'
_cell_length_a 5.2729
_cell_length_b 6.7358
_cell_length_c 11.6778
_cell_angle_alpha 90.00
_cell_angle_beta 90.00
_cell_angle_gamma 90.00
_space_group_name_H-M_alt 'A m m 2'
_space_group_IT_number 38
_space_group_name_Hall 'A 2 -2'
loop_
_atom_site_label
_atom_site_fract_x
_atom_site_fract_y
_atom_site_fract_z
Er1 0.0000 0.0000 0.0000
Er2 0.0000 0.2393 0.2394
Er3 0.5000 0.0000 0.6521
Tm1 0.5000 0.2395 0.4128
Al1 0.0000 0.0000 0.4923
Al2 0.5000 0.0000 0.1596
```

Computed properties:
**ΔE to the lowest computed polymorph**: 0.000 eV per atom
**Energy relative to the elements**: -0.201 eV per atom
**Calculated volume**: 25.92 A^3/atom
**Size of the total moment**: 0.0 μB/f.u.

No. 3
LiMg3: optimized geometry, PBE-GGA.

```
data_LiMg3
_chemical_formula_sum 'Li1 Mg3'
_cell_length_a 3.1731
_cell_length_b 3.1731
_cell_length_c 10.0503
_cell_angle_alpha 90.00
_cell_angle_beta 90.00
_cell_angle_gamma 120.00
_space_group_name_H-M_alt 'P -6 m 2'
_space_group_IT_number 187
_space_group_name_Hall 'P -6 2'
loop_
_atom_site_label
_atom_site_fract_x
_atom_site_fract_y
_atom_site_fract_z
Li1 0.0000 0.0000 0.0000
Mg1 0.0000 0.0000 0.5000
Mg2 0.6667 0.3333 0.2390
```

Computed properties:
**Energy relative to the elements**: -0.028 eV per atom
**Calculated volume**: 21.91 A^3/atom
**Size of the total moment**: 0.0 μB/f.u.